# 1
# CsMg2Rh GGA-PBE optimized geometry
data_CsMg2Rh
_cell_length_a 6.5609
_cell_length_b 6.5609
_cell_length_c 14.9201
_cell_angle_alpha 90.00
_cell_angle_beta 90.00
_cell_angle_gamma 90.00
_space_group_name_H-M_alt 'I 41/a m d'
_space_group_IT_number 141
loop_
_space_group_symop_operation_xyz
'x,y,z'
'-x,-y,-z'
'-y+1/4,x+3/4,z+1/4'
'y+1/4,-x+3/4,-z+1/4'
'-x+1/2,-y,z+1/2'
'x+1/2,y,-z+1/2'
'y+1/4,-x+1/4,z+3/4'
'-y+1/4,x+1/4,-z+3/4'
'x,-y,-z'
'-x,y,z'
'-y+1/4,-x+1/4,-z+3/4'
'y+1/4,x+1/4,z+3/4'
'-x+1/2,y,-z+1/2'
'x+1/2,-y,z+1/2'
'y+1/4,x+3/4,-z+1/4'
'-y+1/4,-x+3/4,z+1/4'
'x+1/2,y+1/2,z+1/2'
'-x+1/2,-y+1/2,-z+1/2'
'-y+3/4,x+1/4,z+3/4'
'y+3/4,-x+1/4,-z+3/4'
'-x,-y+1/2,z'
'x,y+1/2,-z'
'y+3/4,-x+3/4,z+1/4'
'-y+3/4,x+3/4,-z+1/4'
'x+1/2,-y+1/2,-z+1/2'
'-x+1/2,y+1/2,z+1/2'
'-y+3/4,-x+3/4,-z+1/4'
'y+3/4,x+3/4,z+1/4'
'-x,y+1/2,-z'
'x,-y+1/2,z'
'y+3/4,x+1/4,-z+3/4'
'-y+3/4,-x+1/4,z+3/4'
loop_
_atom_site_label
_atom_site_type_symbol
_atom_site_fract_x
_atom_site_fract_y
_atom_site_fract_z
Cs1 Cs 0.0000 0.2500 0.3750
Mg1 Mg 0.0000 0.0000 0.0000
Rh1 Rh 0.0000 0.2500 0.8750
# Energy relative to the elements ... 0.927 eV/f.u.

# 2
# CsMg2SiRh GGA-PBE optimized geometry
data_CsMg2SiRh
_cell_length_a 5.2493
_cell_length_b 5.2493
_cell_length_c 4.6489
_cell_angle_alpha 90.00
_cell_angle_beta 90.00
_cell_angle_gamma 90.00
_space_group_name_H-M_alt 'P 4/m m m'
_space_group_IT_number 123
_space_group_name_Hall '-P 4 2'
loop_
_atom_site_label
_atom_site_type_symbol
_atom_site_fract_x
_atom_site_fract_y
_atom_site_fract_z
Cs1 Cs 0.0000 0.0000 0.0000
Mg1 Mg 0.0000 0.5000 0.5000
Si1 Si 0.5000 0.5000 0.0000
Rh1 Rh 0.5000 0.5000 0.5000
# Formation energy from raw total energies ... -0.156 eV per atom

# 3
# CsSrMg2Rh GGA-PBE optimized geometry
data_CsSrMg2Rh
_cell_length_a 5.3968
_cell_length_b 5.3968
_cell_length_c 5.7232
_cell_angle_alpha 90.00
_cell_angle_beta 90.00
_cell_angle_gamma 90.00
_space_group_name_H-M_alt 'P 4/m m m'
_space_group_IT_number 123
_space_group_name_Hall '-P 4 2'
loop_
_atom_site_label
_atom_site_type_symbol
_atom_site_fract_x
_atom_site_fract_y
_atom_site_fract_z
Cs1 Cs 0.0000 0.0000 0.0000
Sr1 Sr 0.5000 0.5000 0.0000
Mg1 Mg 0.0000 0.5000 0.5000
Rh1 Rh 0.5000 0.5000 0.5000
# Energy relative to the elements ... -0.206 eV/f.u.